## P
A plane-wave DFT calculation with PBE-GGA was carried out for crystalline EuZrPt2 at its relaxed geometry.

Values from the calculation:
The value obtained for the density of states at the Fermi level is 9.8 states/eV per cell.

Lattice parameters (Å, degrees): 5.109 5.109 3.137 90.00 90.00 90.00
Element x y z (fractional)
Eu (0.000, 0.000, 0.000)
Zr (0.500, 0.500, 0.000)
Pt (0.000, 0.500, 0.500)
Pt (0.500, 0.000, 0.500)

***

## Q
A plane-wave DFT calculation with PBE-GGA was carried out for crystalline EuZrPt2 at its relaxed geometry.

Values from the calculation:
The value obtained for the density of states at the Fermi level is 10.4 states/eV per cell.

Lattice parameters (Å, degrees): 3.410 3.410 7.343 90.00 90.00 90.00
Element x y z (fractional)
Eu (0.000, 0.000, 0.000)
Zr (0.000, 0.000, 0.500)
Pt (0.500, 0.500, 0.297)
Pt (0.500, 0.500, 0.703)

***

Going by the energies, Q is most stable and the next is 0.138 eV/atom up.

***

## P
A plane-wave DFT calculation with PBE-GGA was carried out for crystalline EuPuRh at its relaxed geometry.

Values from the calculation:
The value obtained for the density of states at the Fermi level is 9.3 states/eV per cell.

Lattice parameters (Å, degrees): 6.347 6.347 6.347 146.98 146.98 47.40
Element x y z (fractional)
Eu (0.000, 0.000, 0.000)
Pu (0.280, 0.280, 0.000)
Rh (0.676, 0.676, 0.000)

***

## Q
A plane-wave DFT calculation with PBE-GGA was carried out for crystalline EuPuRh at its relaxed geometry.

Values from the calculation:
The value obtained for the density of states at the Fermi level is 13.7 states/eV per cell.

Lattice parameters (Å, degrees): 4.871 4.871 4.871 60.00 60.00 60.00
Element x y z (fractional)
Eu (0.000, 0.000, 0.000)
Pu (0.500, 0.500, 0.500)
Rh (0.750, 0.750, 0.750)

***

Going by the energies, P is most stable and the next is 0.104 eV/atom up.

***

## P
A plane-wave DFT calculation with PBE-GGA was carried out for crystalline EuPuSi at its relaxed geometry.

Values from the calculation:
The value obtained for the density of states at the Fermi level is 10.3 states/eV per cell.

Lattice parameters (Å, degrees): 4.982 4.982 4.982 60.00 60.00 60.00
Element x y z (fractional)
Eu (0.000, 0.000, 0.000)
Pu (0.500, 0.500, 0.500)
Si (0.250, 0.250, 0.250)

***

## Q
A plane-wave DFT calculation with PBE-GGA was carried out for crystalline EuPuSi at its relaxed geometry.

Values from the calculation:
The value obtained for the density of states at the Fermi level is 7.2 states/eV per cell.

Lattice parameters (Å, degrees): 4.906 4.906 3.603 90.00 90.00 120.00
Element x y z (fractional)
Eu (0.000, 0.000, 0.000)
Pu (0.333, 0.667, 0.588)
Si (0.667, 0.333, 0.346)

***

Going by the energies, P is most stable and the next is 0.051 eV/atom up.

***

## P
A plane-wave DFT calculation with PBE-GGA was carried out for crystalline EuPu2Si at its relaxed geometry.

Values from the calculation:
The value obtained for the density of states at the Fermi level is 12.5 states/eV per cell.

Lattice parameters (Å, degrees): 3.812 3.812 6.856 90.00 90.00 90.00
Element x y z (fractional)
Eu (0.000, 0.000, 0.000)
Pu (0.500, 0.500, 0.299)
Pu (0.500, 0.500, 0.701)
Si (0.000, 0.000, 0.500)

***

## Q
A plane-wave DFT calculation with PBE-GGA was carried out for crystalline EuPu2Si at its relaxed geometry.

Values from the calculation:
The value obtained for the density of states at the Fermi level is 24.0 states/eV per cell.

Lattice parameters (Å, degrees): 6.467 6.467 6.467 43.92 43.92 43.92
Element x y z (fractional)
Eu (0.000, 0.000, 0.000)
Pu (0.206, 0.206, 0.206)
Pu (0.794, 0.794, 0.794)
Si (0.500, 0.500, 0.500)

***

Going by the energies, P is most stable and the next is 0.212 eV/atom up.

***

## P
A plane-wave DFT calculation with PBE-GGA was carried out for crystalline Sm2EuPu at its relaxed geometry.

Values from the calculation:
The value obtained for the density of states at the Fermi level is 14.5 states/eV per cell.

Lattice parameters (Å, degrees): 5.126 5.126 5.076 90.00 90.00 90.00
Element x y z (fractional)
Sm (0.000, 0.500, 0.000)
Sm (0.500, 0.000, 0.000)
Eu (0.000, 0.000, 0.500)
Pu (0.500, 0.500, 0.500)

***

## Q
A plane-wave DFT calculation with PBE-GGA was carried out for crystalline Sm2EuPu at its relaxed geometry.

Values from the calculation:
The value obtained for the density of states at the Fermi level is 8.7 states/eV per cell.

Lattice parameters (Å, degrees): 3.574 3.574 10.491 90.00 90.00 90.00
Element x y z (fractional)
Sm (0.000, 0.000, 0.227)
Sm (0.000, 0.000, 0.773)
Eu (0.500, 0.500, 0.500)
Pu (0.500, 0.500, 0.000)

***

Going by the energies, Q is most stable and the next is 0.069 eV/atom up.

***

## P
A plane-wave DFT calculation with PBE-GGA was carried out for crystalline SmEuPu at its relaxed geometry.

Values from the calculation:
The value obtained for the density of states at the Fermi level is 10.2 states/eV per cell.

Lattice parameters (Å, degrees): 5.832 5.832 3.396 90.00 90.00 120.00
Element x y z (fractional)
Sm (0.000, 0.000, 0.000)
Eu (0.333, 0.667, 0.713)
Pu (0.667, 0.333, 0.404)

***

## Q
A plane-wave DFT calculation with PBE-GGA was carried out for crystalline SmEuPu at its relaxed geometry.

Values from the calculation:
The value obtained for the density of states at the Fermi level is 9.8 states/eV per cell.

Lattice parameters (Å, degrees): 8.240 8.240 8.240 155.09 155.09 35.52
Element x y z (fractional)
Sm (0.000, 0.000, 0.000)
Eu (0.675, 0.675, 0.000)
Pu (0.347, 0.347, 0.000)

***

Going by the energies, Q is most stable and the next is 0.086 eV/atom up.